Entry 1:
Computed, not measured: a relaxed structure of Al4Ni2IrPd at the GGA-PBE level of DFT.

a b c (Å): 4.2102 4.2102 20.7399
angles (deg): 90.00 90.00 120.00
Space group R-3m (No. 166, hexagonal axes)
Asymmetric unit:
Al 0.0000 0.0000 0.1245
Al 0.0000 0.0000 0.3746
Ni 0.0000 0.0000 0.2526
Ir 0.0000 0.0000 0.0000
Pd 0.0000 0.0000 0.5000

E_form, eV/atom: -0.759
Uncorrected energy, eV per cell: -139.96


Entry 2:
Computed, not measured: a relaxed structure of AlNiIrPd at the GGA-PBE level of DFT.

a b c (Å): 6.013 6.013 6.013
angles (deg): 90.00 90.00 90.00
Space group F-43m (No. 216)
Asymmetric unit:
Al 0.000 0.000 0.000
Ni 0.000 0.000 0.500
Ir 0.250 0.250 0.750
Pd 0.250 0.250 0.250

E_form, eV/atom: -0.433
Uncorrected energy, eV per cell: -101.24


Entry 3:
Computed, not measured: a relaxed structure of Pm2Al4NiIr3 at the GGA-PBE level of DFT.

a b c (Å): 4.191 4.191 10.407
angles (deg): 90.00 90.00 90.00
Space group P-4m2 (No. 115)
Asymmetric unit:
Pm 0.000 0.500 0.243
Al 0.000 0.000 0.500
Al 0.000 0.500 0.880
Al 0.500 0.500 0.500
Ni 0.500 0.500 0.000
Ir 0.000 0.000 0.000
Ir 0.000 0.500 0.638

E_form, eV/atom: -0.806
Uncorrected energy, eV per cell: -64.90


Entry 4:
Computed, not measured: a relaxed structure of PmAl3NiIr at the GGA-PBE level of DFT.

a b c (Å): 6.217 11.749 5.997
angles (deg): 90.00 90.00 90.00
Space group Cmcm (No. 63)
Asymmetric unit:
Pm 0.000 0.232 0.250
Al 0.000 0.342 0.750
Al 0.211 0.000 0.000
Ni 0.000 0.461 0.250
Ir 0.000 0.134 0.750

E_form, eV/atom: -0.519
Uncorrected energy, eV per cell: -134.95


Entry 5:
Computed, not measured: a relaxed structure of Pm2Al5Ni2Ir at the GGA-PBE level of DFT.

a b c (Å): 9.520 9.520 3.866
angles (deg): 90.00 90.00 90.00
Space group P4/mbm (No. 127)
Asymmetric unit:
Pm 0.186 0.314 0.000
Al 0.000 0.500 0.500
Al 0.050 0.801 0.500
Ni 0.110 0.610 0.000
Ir 0.000 0.000 0.000

E_form, eV/atom: -0.502
Uncorrected energy, eV per cell: -107.32


Entry 6:
Computed, not measured: a relaxed structure of PmAlNiIr at the GGA-PBE level of DFT.

a b c (Å): 6.538 6.538 6.538
angles (deg): 90.00 90.00 90.00
Space group F-43m (No. 216)
Asymmetric unit:
Pm 0.000 0.000 0.000
Al 0.000 0.000 0.500
Ni 0.250 0.250 0.750
Ir 0.250 0.250 0.250

E_form, eV/atom: -0.431
Uncorrected energy, eV per cell: -99.44


Entry 7:
Computed, not measured: a relaxed structure of PrAl4NiIr2 at the GGA-PBE level of DFT.

a b c (Å): 4.2139 4.2139 26.6220
angles (deg): 90.00 90.00 120.00
Space group R-3m (No. 166, hexagonal axes)
Asymmetric unit:
Pr 0.0000 0.0000 0.0000
Al 0.0000 0.0000 0.1337
Al 0.0000 0.0000 0.4081
Ni 0.0000 0.0000 0.5000
Ir 0.0000 0.0000 0.2302

E_form, eV/atom: -0.760
Uncorrected energy, eV per cell: -148.00


Entry 8:
Computed, not measured: a relaxed structure of AlRe2NiIr at the GGA-PBE level of DFT.

a b c (Å): 4.364 4.364 4.552
angles (deg): 90.00 90.00 90.00
Space group P4/mmm (No. 123)
Asymmetric unit:
Al 0.000 0.000 0.000
Re 0.000 0.500 0.500
Ni 0.500 0.500 0.500
Ir 0.500 0.500 0.000

E_form, eV/atom: 1.504
Uncorrected energy, eV per cell: -35.76


Among the records above, which one has the highest E_form?
AlRe2NiIr